# 1
Computed, not measured: a geometry-optimized Li2LaMg structure at the PBE level of DFT.

a b c (Å): 3.4592 5.5249 5.6865
angles (deg): 90.00 90.00 90.00
Last column: nearest neighbours and their distance in Å.
Space group Pmmm (No. 47)
Unique sites:
Li  0.0000  0.0000  0.0000 [1 per cell]  4 Mg 3.26, 6 Li 3.33-3.46
Li  0.5000  0.0000  0.5000 [1 per cell]  4 La 3.26, 6 Li 3.33-3.46
La  0.0000  0.5000  0.5000 [1 per cell]  4 Li 3.26, 4 Mg 3.33, 2 La 3.46
Mg  0.5000  0.5000  0.0000 [1 per cell]  4 Li 3.26, 4 La 3.33, 2 Mg 3.46

Its crystal system is orthorhombic. For the total energy, the calculation gives -2.4791 eV per atom. The formation energy from the elements comes out at 108 meV per atom.

=====

# 2
Computed, not measured: a geometry-optimized KCd2Au6 structure at the PBE level of DFT.

a b c (Å): 4.3122 7.7705 13.7396
angles (deg): 90.00 90.00 90.00
Last column: nearest neighbours and their distance in Å.
Space group Immm (No. 71)
Unique sites:
K  0.0000  0.0000  0.0000 [2 per cell]  4 Au 3.30
Cd  0.0000  0.5000  0.1400 [4 per cell]  10 Au 2.90-3.20
Au  0.0000  0.1780  0.5000 [4 per cell]  3 Au 2.67-2.77
Au  0.0000  0.2311  0.3080 [8 per cell]  3 Au 2.67-2.70, 2 Cd 2.90

Its crystal system is orthorhombic. For the total energy, the calculation gives -2.5706 eV per atom. The formation energy from the elements comes out at -60 meV per atom.